GGA-PBE LiDyMg2Au4, relaxed; E_tot = -27.98 eV per cell; volume = 19.05 A^3/atom; total magnetic moment = 0.0001 μB/atom
1.0
4.770 0.000 0.000
0.000 4.770 0.000
0.000 0.000 6.699
Au Dy Li Mg
4 1 1 2
Direct
0.500 0.000 0.269
0.000 0.500 0.269
0.500 0.000 0.731
0.000 0.500 0.731
0.500 0.500 0.000
0.000 0.000 0.500
0.000 0.000 0.000
0.500 0.500 0.500